# PBE with a Hubbard U CoAsIrO, relaxed
data_CoAsIrO
_cell_length_a 3.947
_cell_length_b 3.947
_cell_length_c 8.702
_cell_angle_alpha 90.00
_cell_angle_beta 90.00
_cell_angle_gamma 90.00
_symmetry_space_group_name_H-M 'P 1'
_symmetry_Int_Tables_number 1
_symmetry_space_group_name_Hall 'P 1'
loop_
_atom_site_label
_atom_site_type_symbol
_atom_site_fract_x
_atom_site_fract_y
_atom_site_fract_z
_atom_site_occupancy
O1 O 0.500 0.500 0.000 1
O2 O 0.000 0.000 0.000 1
Ir1 Ir 0.000 0.000 0.500 1
Co1 Co 0.000 0.500 0.047 1
As1 As 0.000 0.500 0.333 1
Co2 Co 0.500 0.000 0.953 1
Ir2 Ir 0.500 0.500 0.500 1
As2 As 0.500 0.000 0.667 1
# Crystal system   tetragonal
# E_tot   -6.395 eV/atom